Sc2TlCoMo: relaxed, GGA-PBE.

The space group is P4/mmm (No. 123) and the conventional cell measures 4.881, 4.881 and 4.409 Å, with angles of 90.00, 90.00 and 90.00 degrees. Symmetry generates all atoms from Sc at (0.000, 0.500, 0.000), Tl at (0.000, 0.000, 0.500), Co at (0.500, 0.500, 0.000) and Mo at (0.500, 0.500, 0.500).

For the calculated total energy, the calculation gives -6.37 eV/atom.


ScV2CoMo: relaxed, GGA-PBE.

The space group is P4/mmm (No. 123) and the conventional cell measures 4.293, 4.293 and 4.616 Å, with angles of 90.00, 90.00 and 90.00 degrees. Symmetry generates all atoms from Sc at (0.000, 0.000, 0.000), V at (0.000, 0.500, 0.500), Co at (0.000, 0.000, 0.500) and Mo at (0.500, 0.500, 0.000).

For the calculated total energy, the calculation gives -7.71 eV/atom.


Co2MoSe2: relaxed, GGA-PBE.

The space group is P4/mbm (No. 127) and the conventional cell measures 6.782, 6.782 and 3.042 Å, with angles of 90.00, 90.00 and 90.00 degrees. Symmetry generates all atoms from Co at (0.144, 0.356, 0.000), Mo at (0.000, 0.000, 0.500) and Se at (0.160, 0.660, 0.500).

For the calculated total energy, the calculation gives -6.20 eV/atom.


CoMoSe4: relaxed, GGA-PBE.

The space group is F-43m (No. 216) and the conventional cell measures 7.935, 7.935 and 7.935 Å, with angles of 90.00, 90.00 and 90.00 degrees. Symmetry generates all atoms from Co at (0.000, 0.000, 0.000), Mo at (0.250, 0.250, 0.750) and Se at (0.125, 0.125, 0.375).

For the calculated total energy, the calculation gives -4.02 eV/atom.


Co2MoSe: relaxed, GGA-PBE.

The space group is Fm-3m (No. 225) and the conventional cell measures 6.008, 6.008 and 6.008 Å, with angles of 90.00, 90.00 and 90.00 degrees. Symmetry generates all atoms from Co at (0.250, 0.250, 0.250), Mo at (0.000, 0.000, 0.000) and Se at (0.000, 0.000, 0.500).

For the calculated total energy, the calculation gives -6.59 eV/atom.


Co2MoSe: relaxed, GGA-PBE.

The space group is P4mm (No. 99) and the conventional cell measures 3.112, 3.112 and 5.686 Å, with angles of 90.00, 90.00 and 90.00 degrees. Symmetry generates all atoms from Co at (0.000, 0.000, 0.000), Co at (0.500, 0.500, 0.176), Mo at (0.000, 0.000, 0.459) and Se at (0.500, 0.500, 0.712).

For the calculated total energy, the calculation gives -6.94 eV/atom.


CoMo3Se: relaxed, GGA-PBE.

The space group is Pm-3m (No. 221) and the conventional cell measures 4.495, 4.495 and 4.495 Å, with angles of 90.00, 90.00 and 90.00 degrees. Symmetry generates all atoms from Co at (0.000, 0.000, 0.000), Mo at (0.000, 0.000, 0.500) and Se at (0.500, 0.500, 0.500).

For the calculated total energy, the calculation gives -7.39 eV/atom.


CoMo2Se: relaxed, GGA-PBE.

The space group is R3m (No. 160, hexagonal axes) and the conventional cell measures 2.9022, 2.9022 and 24.9629 Å, with angles of 90.00, 90.00 and 120.00 degrees. Symmetry generates all atoms from Co at (0.0000, 0.0000, 0.0000), Mo at (0.0000, 0.0000, 0.5058), Mo at (0.0000, 0.0000, 0.7436) and Se at (0.0000, 0.0000, 0.2501).

For the calculated total energy, the calculation gives -7.76 eV/atom.


CoMo3Se: relaxed, GGA-PBE.

The space group is Pm-3m (No. 221) and the conventional cell measures 4.567, 4.567 and 4.567 Å, with angles of 90.00, 90.00 and 90.00 degrees. Symmetry generates all atoms from Co at (0.000, 0.000, 0.000), Mo at (0.000, 0.500, 0.500) and Se at (0.500, 0.500, 0.500).

For the calculated total energy, the calculation gives -7.17 eV/atom.


CoMo2Se: relaxed, GGA-PBE.

The space group is Pmmm (No. 47) and the conventional cell measures 3.162, 4.266 and 4.398 Å, with angles of 90.00, 90.00 and 90.00 degrees. Symmetry generates all atoms from Co at (0.000, 0.000, 0.000), Mo at (0.000, 0.500, 0.500), Mo at (0.500, 0.000, 0.500) and Se at (0.500, 0.500, 0.000).

For the calculated total energy, the calculation gives -7.71 eV/atom.


Co2MoSe: relaxed, GGA-PBE.

The space group is I4/mmm (No. 139) and the conventional cell measures 3.696, 3.696 and 7.657 Å, with angles of 90.00, 90.00 and 90.00 degrees. Symmetry generates all atoms from Co at (0.000, 0.500, 0.250), Mo at (0.000, 0.000, 0.000) and Se at (0.000, 0.000, 0.500).

For the calculated total energy, the calculation gives -6.77 eV/atom.


CoMo2Se: relaxed, GGA-PBE.

The space group is R-3m (No. 166, hexagonal axes) and the conventional cell measures 2.8966, 2.8966 and 24.5509 Å, with angles of 90.00, 90.00 and 120.00 degrees. Symmetry generates all atoms from Co at (0.0000, 0.0000, 0.0000), Mo at (0.0000, 0.0000, 0.2511) and Se at (0.0000, 0.0000, 0.5000).

For the calculated total energy, the calculation gives -7.71 eV/atom.


Number 1: density of states at the Fermi level 5.52 states/eV per cell, magnetization 0.0 μB/cell. Number 2: density of states at the Fermi level 7.25 states/eV per cell, magnetization 0.0 μB/cell. Number 3: density of states at the Fermi level 10.25 states/eV per cell, magnetization 0.0 μB/cell. Number 4: density of states at the Fermi level 21.59 states/eV per cell, magnetization 25.0 μB/cell. Number 5: density of states at the Fermi level 16.41 states/eV per cell, magnetization 6.9 μB/cell. Number 6: density of states at the Fermi level 3.71 states/eV per cell, magnetization 3.5 μB/cell. Number 7: density of states at the Fermi level 4.51 states/eV per cell, magnetization 0.0 μB/cell. Number 8: density of states at the Fermi level 13.16 states/eV per cell, magnetization 0.8 μB/cell. Number 9: density of states at the Fermi level 7.55 states/eV per cell, magnetization 2.4 μB/cell. Number 10: density of states at the Fermi level 3.12 states/eV per cell, magnetization 1.1 μB/cell. Number 11: density of states at the Fermi level 8.42 states/eV per cell, magnetization 0.0 μB/cell. Number 12: density of states at the Fermi level 13.88 states/eV per cell, magnetization 1.8 μB/cell.